# 1
First-principles (PBE) data for NdDy2Cl after structural relaxation, as listed in the Alexandria database.

Cell and atoms, written as POSCAR:
```
NdDy2Cl
1.0
3.449 0.000 0.000
1.725 2.987 0.000
1.725 0.996 11.214
Dy Nd Cl
2 1 1
direct
0.899 0.899 0.303
0.101 0.101 0.697
0.000 0.000 0.000
0.500 0.500 0.500
```

- Density of states at the Fermi level: 6.38 states/eV/f.u.
- Total magnetic moment: 0.00 μB per cell
- SG: R-3m
- Raw formation energy: -151 kJ/mol of formula units

***

# 2
First-principles (PBE) data for LaTbPmAl after structural relaxation, as listed in the Alexandria database.

Cell and atoms, written as POSCAR:
```
LaTbPmAl
1.0
-1.176 -2.943 -4.485
-4.322 -3.388 -0.006
-4.439 1.216 -2.996
Al Tb La Pm
1 1 1 1
direct
0.250 0.250 0.250
0.750 0.750 0.750
0.500 0.500 0.500
0.000 0.000 0.000
```

- Density of states at the Fermi level: 6.98 states/eV/f.u.
- Total magnetic moment: 0.00 μB per cell
- Formation energy from the elements: -60 meV per atom
- Energy relative to the lowest polymorph listed for this composition: 0.0000 eV/atom
- SG: F-43m

***

# 3
First-principles (PBE) data for KTaBr2 after structural relaxation, as listed in the Alexandria database.

Cell and atoms, written as POSCAR:
```
KTaBr2
1.0
-1.546 2.174 -2.525
1.452 -3.324 -0.580
-8.658 -4.093 1.777
Br K Ta
2 1 1
direct
0.000 0.000 0.532
0.000 0.000 0.968
0.500 0.500 0.250
0.500 0.500 0.750
```

- Density of states at the Fermi level: 2.28 states/eV/f.u.
- Total magnetic moment: 0.77 μB per cell
- Energy relative to the lowest polymorph listed for this composition: 0.0842 eV/atom
- SG: Cmmm
- Raw formation energy: -19 kJ/mol of formula units

***

# 4
First-principles (PBE) data for TbAl2Zn2 after structural relaxation, as listed in the Alexandria database.

Cell and atoms, written as POSCAR:
```
TbAl2Zn2
1.0
6.060 0.000 0.000
0.000 4.468 0.000
0.000 -2.234 3.870
Zn Al Tb
2 2 1
direct
0.249 0.333 0.667
0.751 0.667 0.333
0.313 0.667 0.333
0.687 0.333 0.667
0.000 0.000 0.000
```

- Density of states at the Fermi level: 3.23 states/eV/f.u.
- Total magnetic moment: 0.00 μB per cell
- Formation energy from the elements: -98 meV per atom
- SG: P-3m1

***

# 5
First-principles (PBE) data for Na2TbTlO4 after structural relaxation, as listed in the Alexandria database.

Cell and atoms, written as POSCAR:
```
Na2TbTlO4
1.0
-2.774 -1.244 1.603
3.232 -4.385 2.191
0.101 4.646 3.782
O Na Tl Tb
4 2 1 1
direct
0.000 0.270 0.780
0.500 0.241 0.224
0.500 0.759 0.776
0.000 0.730 0.220
0.500 0.000 0.500
0.000 0.500 0.500
0.000 0.000 0.000
0.500 0.500 0.000
```

- Total magnetic moment: 0.00 μB per cell
- SG: P2/m
- Raw formation energy: -1471 kJ/mol of formula units

***

# 6
First-principles (PBE) data for SmInOsO6 after structural relaxation, as listed in the Alexandria database.

Cell and atoms, written as POSCAR:
```
SmInOsO6
1.0
-4.800 1.305 2.478
0.012 -3.300 -4.471
0.782 -7.158 5.286
In Os O Sm
2 2 12 2
direct
0.000 0.000 0.500
0.000 0.000 0.000
0.667 0.333 0.250
0.333 0.667 0.750
0.319 0.370 0.873
0.319 0.949 0.627
0.630 0.681 0.627
0.630 0.949 0.873
0.370 0.319 0.373
0.051 0.681 0.873
0.949 0.319 0.127
0.370 0.051 0.127
0.051 0.370 0.627
0.681 0.630 0.127
0.681 0.051 0.373
0.949 0.630 0.373
0.333 0.667 0.250
0.667 0.333 0.750
```

- Density of states at the Fermi level: 3.76 states/eV/f.u.
- Total magnetic moment: 4.04 μB per cell
- SG: P-31c
- Raw formation energy: -1476 kJ/mol of formula units

***

# 7
First-principles (PBE) data for FeAsPC after structural relaxation, as listed in the Alexandria database.

Cell and atoms, written as POSCAR:
```
FeAsPC
1.0
6.019 0.000 0.000
0.000 2.891 0.000
-4.614 0.000 6.580
C P Fe As
2 2 2 2
direct
0.859 0.000 0.218
0.859 0.500 0.718
0.660 0.500 0.163
0.660 0.000 0.663
0.242 0.500 0.011
0.242 0.000 0.511
0.182 0.000 0.202
0.182 0.500 0.702
```

- Density of states at the Fermi level: 0.36 states/eV/f.u.
- Total magnetic moment: 0.00 μB per cell
- Formation energy from the elements: 274 meV per atom
- Energy relative to the lowest polymorph listed for this composition: 0.0898 eV/atom
- SG: Cm

***

# 8
First-principles (PBE) data for CsCd3As after structural relaxation, as listed in the Alexandria database.

Cell and atoms, written as POSCAR:
```
CsCd3As
1.0
-0.621 -5.616 0.299
5.519 -0.667 -1.058
1.085 0.175 5.551
Cd Cs As
3 1 1
direct
0.000 0.000 0.500
0.000 0.500 0.000
0.500 0.000 0.000
0.500 0.500 0.500
0.000 0.000 0.000
```

- Density of states at the Fermi level: 1.62 states/eV/f.u.
- Total magnetic moment: 0.00 μB per cell
- Formation energy from the elements: 94 meV per atom
- Energy relative to the lowest polymorph listed for this composition: 0.0000 eV/atom
- SG: Pm-3m

***

# 9
First-principles (PBE) data for NaSrSn2 after structural relaxation, as listed in the Alexandria database.

Cell and atoms, written as POSCAR:
```
NaSrSn2
1.0
4.918 0.000 0.000
0.000 4.862 0.000
0.000 0.000 4.862
Sn Sr Na
2 1 1
direct
0.000 0.500 0.000
0.000 0.000 0.500
0.500 0.500 0.500
0.500 0.000 0.000
```

- Density of states at the Fermi level: 2.89 states/eV/f.u.
- Total magnetic moment: 0.00 μB per cell
- Formation energy from the elements: -380 meV per atom
- SG: P4/mmm

***

# 10
First-principles (PBE) data for SiMoW after structural relaxation, as listed in the Alexandria database.

Cell and atoms, written as POSCAR:
```
SiMoW
1.0
4.072 0.000 0.000
-2.036 4.403 0.000
0.000 0.000 5.047
Si W Mo
2 2 2
direct
0.114 0.227 0.250
0.886 0.773 0.750
0.201 0.403 0.750
0.799 0.597 0.250
0.500 0.000 0.000
0.500 0.000 0.500
```

- Density of states at the Fermi level: 2.48 states/eV/f.u.
- Total magnetic moment: 0.00 μB per cell
- Energy relative to the lowest polymorph listed for this composition: 0.0865 eV/atom
- SG: Cmcm
- Raw formation energy: 3 kJ/mol of formula units

***

# 11
First-principles (PBE) data for CaTbHo2 after structural relaxation, as listed in the Alexandria database.

Cell and atoms, written as POSCAR:
```
CaTbHo2
1.0
-1.929 1.144 2.794
0.027 -1.844 3.071
8.707 6.236 5.757
Ho Ca Tb
2 1 1
direct
0.078 0.078 0.765
0.255 0.255 0.236
0.501 0.501 0.498
0.666 0.666 0.001
```

- Density of states at the Fermi level: 5.55 states/eV/f.u.
- Total magnetic moment: 0.00 μB per cell
- Formation energy from the elements: 65 meV per atom
- Energy relative to the lowest polymorph listed for this composition: 0.0000 eV/atom
- SG: R3m

***

# 12
First-principles (PBE) data for ZrSi2Rh after structural relaxation, as listed in the Alexandria database.

Cell and atoms, written as POSCAR:
```
ZrSi2Rh
1.0
4.102 0.000 0.000
0.000 4.102 0.000
2.051 2.051 8.541
Si Zr Rh
4 2 2
direct
0.375 0.286 0.750
0.875 0.964 0.750
0.714 0.125 0.250
0.036 0.625 0.250
0.500 0.500 0.000
0.250 0.750 0.500
0.000 0.000 0.000
0.750 0.250 0.500
```

- Density of states at the Fermi level: 2.99 states/eV/f.u.
- Total magnetic moment: 0.00 μB per cell
- SG: I-42d
- Raw formation energy: -123 kJ/mol of formula units

***

Q: Which E_tot values were calculated for the entries above? A: -4.3464; -4.5728; -4.1222; -3.0302; -5.5889; -7.0820; -6.6628; -1.5557; -3.1314; -9.7257; -3.8823; -7.0046, in eV/atom.